# 1
A plane-wave DFT calculation with GGA-PBE was carried out for Na3Li2Sn2 after structural relaxation.

abc: 4.8080 5.4574 8.5543
angles: 83.97 90.00 116.14
With the nearest neighbours (Å) after each atom.
Positions (direct):
Li: 0.6241 0.2482 0.4138  1 Li 2.69, 1 Sn 3.00
Li: 0.3759 0.7518 0.5862  1 Li 2.69, 1 Sn 3.00
Sn: 0.9319 0.8637 0.3630  1 Sn 2.83, 5 Li 3.00-3.12, 3 Na 3.10-3.16
Sn: 0.0681 0.1363 0.6370  1 Sn 2.83, 5 Li 3.00-3.12, 3 Na 3.10-3.16
Na: 0.7330 0.4660 0.7636  3 Li 3.09-3.29, 3 Sn 3.16-3.34
Na: 0.2670 0.5340 0.2364  3 Li 3.09-3.29, 3 Sn 3.16-3.34
Na: 0.0000 0.0000 0.0000  2 Sn 3.10

DFT total energy = -17.052 eV/cell
energy above the lowest structure with this stoichiometry = 0.054 eV per atom
DOS at the Fermi energy = 2.43 states/eV per cell
calculated volume = 28.59 A^3/atom
energy of formation from the pure elements = -0.1802 eV per atom


# 2
A plane-wave DFT calculation with GGA-PBE was carried out for SrZrRu2 after structural relaxation.

abc: 4.4951 4.4951 6.6316
angles: 80.74 80.74 42.58
With the nearest neighbours (Å) after each atom.
Positions (direct):
Ru: 0.4873 0.4873 0.5769  3 Zr 2.65-2.67, 2 Ru 2.85
Ru: 0.0127 0.0127 0.9231  3 Zr 2.65-2.67, 2 Ru 2.85
Zr: 0.7500 0.7500 0.7500  6 Ru 2.65-2.67
Sr: 0.2500 0.2500 0.2500  6 Ru 3.18-3.25, 2 Sr 3.26

DFT total energy = -27.897 eV/cell
DOS at the Fermi energy = 3.05 states/eV per cell
calculated volume = 22.33 A^3/atom
energy of formation from the pure elements = 0.2211 eV per atom


# 3
A plane-wave DFT calculation with GGA-PBE was carried out for ScIF2 after structural relaxation.

abc: 8.1693 8.1693 8.1693
angles: 25.54 25.54 25.54
With the nearest neighbours (Å) after each atom.
Positions (direct):
F: 0.8606 0.8606 0.8606  3 Sc 2.18
F: 0.1394 0.1394 0.1394  3 Sc 2.18
Sc: 0.5000 0.5000 0.5000  6 F 2.18
I: 0.0000 0.0000 0.0000  2 F 3.30, 6 I 3.61

DFT total energy = -21.241 eV/cell
E_form (uncorrected) = -55.44 kcal/mol of atoms
energy above the lowest structure with this stoichiometry = 0.337 eV per atom
DOS at the Fermi energy = 3.72 states/eV per cell
calculated volume = 22.30 A^3/atom


# 4
A plane-wave DFT calculation with GGA-PBE was carried out for TaI3Br after structural relaxation.

abc: 7.5372 7.5374 7.6614
angles: 90.00 90.00 74.97
With the nearest neighbours (Å) after each atom.
Positions (direct):
I: 0.0076 0.2100 0.5524  1 Ta 2.70
I: 0.0098 0.7533 0.3024  2 Ta 2.85
I: 0.5508 0.2124 0.3024  2 Ta 2.85
I: 0.0098 0.7533 0.8024  2 Ta 2.85
I: 0.5508 0.2124 0.8024  2 Ta 2.85
I: 0.5530 0.7557 0.0524  1 Ta 2.70
Br: 0.9863 0.1888 0.0524  1 Ta 2.48
Br: 0.5743 0.7769 0.5524  1 Ta 2.48
Ta: 0.7790 0.9816 0.0524  1 Br 2.48, 1 I 2.70
Ta: 0.7816 0.9841 0.5524  1 Br 2.48, 1 I 2.70

DFT total energy = -41.171 eV/cell
E_form (uncorrected) = -11.11 kcal/mol of atoms
energy above the lowest structure with this stoichiometry = 0.000 eV per atom
DOS at the Fermi energy = 3.83 states/eV per cell
calculated volume = 42.04 A^3/atom


# 5
A plane-wave DFT calculation with GGA-PBE was carried out for PrThPd after structural relaxation.

abc: 4.9228 5.6483 6.3709
angles: 105.24 89.99 90.00
With the nearest neighbours (Å) after each atom.
Positions (direct):
Pr: 0.7522 0.5814 0.2533  4 Pd 3.05-3.28
Pr: 0.2522 0.4264 0.7499  4 Pd 3.05-3.28
Th: 0.2523 0.0618 0.1720  3 Pd 2.95-2.98, 2 Th 3.23
Th: 0.7522 0.9459 0.8312  3 Pd 2.95-2.98, 2 Th 3.23
Pd: 0.7522 0.1409 0.4449  3 Th 2.95-2.98, 4 Pr 3.05-3.28, 2 Pd 3.09
Pd: 0.2523 0.8668 0.5583  3 Th 2.95-2.98, 4 Pr 3.05-3.28, 2 Pd 3.09

DFT total energy = -37.344 eV/cell
energy above the lowest structure with this stoichiometry = 0.015 eV per atom
DOS at the Fermi energy = 6.45 states/eV per cell
calculated volume = 28.49 A^3/atom
energy of formation from the pure elements = -0.4266 eV per atom


# 6
A plane-wave DFT calculation with GGA-PBE was carried out for TbTeIO4 after structural relaxation.

abc: 6.7455 6.7455 6.9924
angles: 76.86 76.86 64.03
With the nearest neighbours (Å) after each atom.
Positions (direct):
Tb: 0.2535 0.2535 0.8662  6 O 2.26-2.48
Tb: 0.7465 0.7465 0.1338  6 O 2.26-2.48
O: 0.5387 0.5387 0.1930  1 Te 1.85
O: 0.1118 0.4845 0.1374  1 Te 1.90
O: 0.4613 0.4613 0.8070  1 Te 1.85
O: 0.4845 0.1118 0.1374  1 Te 1.90
O: 0.8882 0.5155 0.8626  1 Te 1.90
O: 0.5155 0.8882 0.8626  1 Te 1.90
O: 0.3024 0.3024 0.5313  1 Te 1.84
O: 0.6976 0.6976 0.4687  1 Te 1.84
Te: 0.6293 0.6293 0.7391  4 O 1.84-1.90
Te: 0.3707 0.3707 0.2609  4 O 1.84-1.90
I: 0.0024 0.0024 0.2526  2 Tb 3.25-3.37, 7 O 3.41-3.61, 2 I 3.45-3.55
I: 0.9976 0.9976 0.7474  2 Tb 3.25-3.37, 7 O 3.41-3.61, 2 I 3.45-3.55

DFT total energy = -80.558 eV/cell
E_form (uncorrected) = -36.65 kcal/mol of atoms
DOS at the Fermi energy = 2.73 states/eV per cell
calculated volume = 19.68 A^3/atom